Entry from Alexandria via LeMat-Bulk: a relaxed NaV3Pb2O8 crystal (GGA+U).

CIF file:
```
data_NaV3Pb2O8
_chemical_formula_sum 'Na3 V9 Pb6 O24'
_space_group_name_H-M_alt 'R 3 m'
_space_group_IT_number 160
_space_group_name_Hall 'R 3 -2"'
_cell_length_a 6.1632
_cell_length_b 6.1632
_cell_length_c 18.1054
_cell_angle_alpha 90.00
_cell_angle_beta 90.00
_cell_angle_gamma 120.00
loop_
_atom_site_label
_atom_site_fract_x
_atom_site_fract_y
_atom_site_fract_z
Na1 0.0000 0.0000 0.0000
V1 0.1688 0.3376 0.4488
Pb1 0.0000 0.0000 0.2369
Pb2 0.0000 0.0000 0.6223
O1 0.0000 0.0000 0.3962
O2 0.0000 0.0000 0.8423
O3 0.0369 0.5184 0.3911
O4 0.1819 0.3638 0.1746
```

## Properties
Electronic total energy (eV/atom): -6.72
V (Å³ per atom): 14.2